Entry 1:
{"formula": "Ca8InAu2", "functional": "PBE", "state": "optimized geometry", "ef_mev_per_atom": -413, "volume_a3_per_cell": 359.9, "m_tot_mub_per_fu": 0.00, "total_energy_ev_per_atom": -2.714, "lattice": [[-3.519, 1.491, 4.301], [-4.807, 2.441, -6.363], [-0.267, -8.267, 1.066]], "species": ["In", "Ca", "Au", "Ca", "Ca", "Ca", "Ca", "Ca", "Ca", "Ca", "Au"], "frac_coords": [[0.001, 0.003, 0.003], [0.584, 0.068, 0.327], [0.500, 0.686, 0.320], [0.416, 0.938, 0.679], [0.584, 0.327, 0.068], [0.000, 0.762, 0.244], [0.416, 0.679, 0.938], [0.809, 0.629, 0.629], [0.191, 0.377, 0.377], [0.000, 0.244, 0.762], [0.500, 0.320, 0.686]]}

---

Entry 2:
{"formula": "KCaIn2Au4", "functional": "PBE", "state": "optimized geometry", "ef_mev_per_atom": -354, "volume_a3_per_cell": 186.0, "m_tot_mub_per_fu": 0.00, "total_energy_ev_per_atom": -3.064, "lattice": [[-0.991, 0.081, 5.002], [3.373, -1.935, 3.299], [4.440, 6.766, 3.369]], "species": ["In", "K", "Au", "Au", "Au", "Ca", "In", "Au"], "frac_coords": [[0.253, 0.253, 0.240], [0.000, 0.000, 0.000], [0.619, 0.619, 0.143], [0.381, 0.381, 0.857], [0.134, 0.134, 0.598], [0.500, 0.500, 0.500], [0.747, 0.747, 0.760], [0.866, 0.866, 0.402]]}

---

Entry 3:
{"formula": "CaLaInAu", "functional": "PBE", "state": "optimized geometry", "ef_mev_per_atom": -625, "volume_a3_per_cell": 111.1, "m_tot_mub_per_fu": 0.00, "total_energy_ev_per_atom": -3.861, "lattice": [[-2.328, -0.786, 4.805], [-1.376, -4.983, 1.549], [2.736, -2.448, 3.956]], "species": ["La", "Ca", "Au", "In"], "frac_coords": [[0.500, 0.500, 0.500], [0.000, 0.000, 0.000], [0.750, 0.750, 0.750], [0.250, 0.250, 0.250]]}

---

Entry 4:
{"formula": "LiCaIn2Au4", "functional": "PBE", "state": "optimized geometry", "ef_mev_per_atom": -500, "volume_a3_per_cell": 161.6, "m_tot_mub_per_fu": 0.00, "total_energy_ev_per_atom": -3.312, "lattice": [[-3.945, 1.617, 2.174], [-4.197, -0.064, -2.300], [-4.184, -6.952, 2.848]], "species": ["Li", "Au", "Au", "In", "In", "Ca", "Au", "Au"], "frac_coords": [[0.500, 0.500, 0.500], [0.870, 0.870, 0.390], [0.610, 0.610, 0.169], [0.753, 0.753, 0.742], [0.247, 0.247, 0.258], [0.000, 0.000, 0.000], [0.130, 0.130, 0.610], [0.390, 0.390, 0.831]]}

---

Entry 5:
{"formula": "Li2CaInAu", "functional": "PBE", "state": "optimized geometry", "ef_mev_per_atom": -238, "volume_a3_per_cell": 128.1, "m_tot_mub_per_fu": 0.00, "total_energy_ev_per_atom": -2.607, "lattice": [[4.954, 0.000, 0.000], [0.000, 4.954, 0.000], [0.000, 0.000, 5.220]], "species": ["Ca", "Au", "Li", "In", "Li"], "frac_coords": [[0.500, 0.500, 0.500], [0.000, 0.000, 0.000], [0.000, 0.500, 0.000], [0.000, 0.000, 0.500], [0.500, 0.000, 0.000]]}

---

Entry 6:
{"formula": "Li2CaInAu4", "functional": "PBE", "state": "optimized geometry", "ef_mev_per_atom": -516, "volume_a3_per_cell": 159.2, "m_tot_mub_per_fu": 0.00, "total_energy_ev_per_atom": -3.226, "lattice": [[4.626, 0.000, 0.000], [2.313, 4.006, 0.000], [2.313, 1.335, 8.593]], "species": ["Au", "Au", "Ca", "In", "Li", "Au", "Li", "Au"], "frac_coords": [[0.122, 0.122, 0.635], [0.391, 0.391, 0.827], [0.000, 0.000, 0.000], [0.500, 0.500, 0.500], [0.758, 0.758, 0.725], [0.878, 0.878, 0.365], [0.242, 0.242, 0.275], [0.609, 0.609, 0.173]]}

---

Entry 7:
{"formula": "Li2CaIn2Au2", "functional": "PBE", "state": "optimized geometry", "ef_mev_per_atom": -432, "volume_a3_per_cell": 154.7, "m_tot_mub_per_fu": 0.00, "total_energy_ev_per_atom": -2.983, "lattice": [[-2.972, -3.741, 0.311], [1.276, -4.232, -1.842], [2.655, -4.649, 6.297]], "species": ["In", "Au", "Li", "Au", "In", "Ca", "Li"], "frac_coords": [[0.258, 0.258, 0.225], [0.406, 0.406, 0.782], [0.132, 0.132, 0.603], [0.594, 0.594, 0.218], [0.742, 0.742, 0.775], [0.000, 0.000, 0.000], [0.868, 0.868, 0.397]]}

---

Entry 8:
{"formula": "CaLuInAu", "functional": "PBE", "state": "optimized geometry", "ef_mev_per_atom": -589, "volume_a3_per_cell": 98.8, "m_tot_mub_per_fu": 0.00, "total_energy_ev_per_atom": -3.723, "lattice": [[5.190, 0.000, 0.000], [2.595, 4.495, 0.000], [2.595, 1.498, 4.237]], "species": ["In", "Au", "Lu", "Ca"], "frac_coords": [[0.500, 0.500, 0.500], [0.000, 0.000, 0.000], [0.750, 0.750, 0.750], [0.250, 0.250, 0.250]]}

---

Entry 9:
{"formula": "CaMg2In2Au2", "functional": "PBE", "state": "optimized geometry", "ef_mev_per_atom": -464, "volume_a3_per_cell": 162.0, "m_tot_mub_per_fu": 0.00, "total_energy_ev_per_atom": -2.924, "lattice": [[-3.078, -3.170, 1.791], [-0.175, -4.420, -1.778], [4.583, -4.949, 5.460]], "species": ["Au", "Mg", "In", "In", "Mg", "Au", "Ca"], "frac_coords": [[0.753, 0.753, 0.740], [0.865, 0.865, 0.405], [0.593, 0.593, 0.222], [0.407, 0.407, 0.778], [0.135, 0.135, 0.595], [0.247, 0.247, 0.260], [0.000, 0.000, 0.000]]}

---

Entry 10:
{"formula": "CaMg2InAu4", "functional": "PBE", "state": "optimized geometry", "ef_mev_per_atom": -529, "volume_a3_per_cell": 162.6, "m_tot_mub_per_fu": 0.00, "total_energy_ev_per_atom": -3.159, "lattice": [[-2.536, -3.247, -2.430], [1.151, -4.635, 0.283], [-5.505, -3.488, 5.698]], "species": ["Au", "Mg", "In", "Au", "Ca", "Au", "Au", "Mg"], "frac_coords": [[0.124, 0.124, 0.628], [0.248, 0.248, 0.255], [0.500, 0.500, 0.500], [0.876, 0.876, 0.372], [0.000, 0.000, 0.000], [0.618, 0.618, 0.146], [0.382, 0.382, 0.854], [0.752, 0.752, 0.745]]}

---

Entry 11:
{"formula": "NaCa2InAu4", "functional": "PBE", "state": "optimized geometry", "ef_mev_per_atom": -580, "volume_a3_per_cell": 179.8, "m_tot_mub_per_fu": 0.00, "total_energy_ev_per_atom": -3.226, "lattice": [[5.042, 0.000, 0.000], [2.521, 4.366, 0.000], [2.521, 1.455, 8.167]], "species": ["Au", "Au", "Au", "Na", "Ca", "In", "Au", "Ca"], "frac_coords": [[0.378, 0.378, 0.867], [0.874, 0.874, 0.379], [0.126, 0.126, 0.621], [0.000, 0.000, 0.000], [0.250, 0.250, 0.250], [0.500, 0.500, 0.500], [0.622, 0.622, 0.133], [0.750, 0.750, 0.750]]}

---

Entry 12:
{"formula": "CaInNiAu2", "functional": "PBE", "state": "optimized geometry", "ef_mev_per_atom": 736, "volume_a3_per_cell": 177.8, "m_tot_mub_per_fu": 1.00, "total_energy_ev_per_atom": -2.679, "lattice": [[-1.222, -2.107, 5.068], [1.064, -5.184, -1.899], [5.385, 0.546, 1.525]], "species": ["In", "Au", "Ni", "Au", "Ca"], "frac_coords": [[0.500, 0.500, 0.500], [0.000, 0.500, 0.000], [0.000, 0.000, 0.500], [0.500, 0.000, 0.000], [0.000, 0.000, 0.000]]}

---

Entry 13:
{"formula": "CaInNiAu", "functional": "PBE", "state": "optimized geometry", "ef_mev_per_atom": -299, "volume_a3_per_cell": 78.8, "m_tot_mub_per_fu": 0.00, "total_energy_ev_per_atom": -3.749, "lattice": [[4.811, 0.000, 0.000], [2.406, 4.167, 0.000], [2.406, 1.389, 3.928]], "species": ["Ni", "Ca", "Au", "In"], "frac_coords": [[0.250, 0.250, 0.250], [0.000, 0.000, 0.000], [0.750, 0.750, 0.750], [0.500, 0.500, 0.500]]}

---

Entry 14:
{"formula": "Ca2InAuO5", "functional": "PBE", "state": "optimized geometry", "volume_a3_per_cell": 253.7, "m_tot_mub_per_fu": 0.00, "total_energy_ev_per_atom": -5.519, "lattice": [[3.358, 0.000, 0.000], [-1.679, 6.560, 0.000], [0.000, 0.000, 11.519]], "species": ["O", "Au", "O", "O", "Ca", "Ca", "O", "Au", "In", "Ca", "O", "Ca", "O", "O", "O", "In", "O", "O"], "frac_coords": [[0.249, 0.497, 0.658], [0.461, 0.922, 0.441], [0.082, 0.164, 0.080], [0.520, 0.040, 0.274], [0.845, 0.690, 0.770], [0.927, 0.854, 0.166], [0.603, 0.206, 0.512], [0.539, 0.078, 0.941], [0.235, 0.470, 0.024], [0.073, 0.146, 0.666], [0.397, 0.794, 0.012], [0.155, 0.310, 0.270], [0.304, 0.609, 0.400], [0.918, 0.836, 0.580], [0.696, 0.391, 0.900], [0.765, 0.530, 0.524], [0.751, 0.503, 0.158], [0.480, 0.960, 0.774]]}

---

Entry 15:
{"formula": "Ca6In2AuO", "functional": "PBE", "state": "optimized geometry", "volume_a3_per_cell": 575.8, "m_tot_mub_per_fu": 0.00, "total_energy_ev_per_atom": -3.410, "lattice": [[7.434, 0.000, 0.000], [0.000, 7.435, 0.000], [0.000, 0.000, 10.416]], "species": ["In", "O", "Ca", "Ca", "Ca", "In", "Ca", "Au", "O", "Ca", "Ca", "Au", "Ca", "Ca", "Ca", "In", "In", "Ca", "Ca", "Ca"], "frac_coords": [[0.500, 0.751, 0.750], [0.500, 0.250, 0.500], [0.500, 0.250, 0.269], [0.232, 0.982, 0.000], [0.732, 0.018, 0.500], [0.000, 0.249, 0.750], [0.232, 0.518, 0.000], [0.500, 0.250, 0.000], [0.000, 0.750, 0.000], [0.000, 0.750, 0.769], [0.000, 0.750, 0.231], [0.000, 0.750, 0.500], [0.732, 0.482, 0.500], [0.768, 0.518, 0.000], [0.268, 0.018, 0.500], [0.500, 0.751, 0.250], [0.000, 0.249, 0.250], [0.268, 0.482, 0.500], [0.500, 0.250, 0.731], [0.768, 0.982, 0.000]]}

---

Entry 16:
{"formula": "Ca3In3Pb2Au", "functional": "PBE", "state": "optimized geometry", "ef_mev_per_atom": -483, "volume_a3_per_cell": 247.1, "m_tot_mub_per_fu": 0.00, "total_energy_ev_per_atom": -3.251, "lattice": [[4.635, 0.000, 0.000], [0.000, 7.846, 0.000], [0.000, -3.923, 6.795]], "species": ["Pb", "In", "Ca", "In", "In", "Ca", "Ca", "Au", "Pb"], "frac_coords": [[0.500, 0.333, 0.667], [0.500, 0.000, 0.765], [0.000, 0.403, 0.000], [0.500, 0.765, 0.000], [0.500, 0.235, 0.235], [0.000, 0.597, 0.597], [0.000, 0.000, 0.403], [0.000, 0.000, 0.000], [0.500, 0.667, 0.333]]}

---

Entry 17:
{"formula": "Ca2In3PdAu12", "functional": "PBE", "state": "optimized geometry", "ef_mev_per_atom": -75, "volume_a3_per_cell": 428.7, "m_tot_mub_per_fu": 0.00, "total_energy_ev_per_atom": -3.227, "lattice": [[7.791, -0.833, -0.591], [3.124, 7.186, -0.591], [3.124, 1.818, 6.978]], "species": ["Au", "Au", "In", "Au", "Au", "Au", "Au", "Au", "Au", "In", "Au", "Au", "Au", "In", "Pd", "Au", "Ca", "Ca"], "frac_coords": [[0.391, 0.391, 0.962], [0.168, 0.168, 0.659], [0.000, 0.500, 0.000], [0.832, 0.341, 0.832], [0.391, 0.962, 0.391], [0.962, 0.391, 0.391], [0.038, 0.609, 0.609], [0.341, 0.832, 0.832], [0.168, 0.659, 0.168], [0.500, 0.000, 0.000], [0.832, 0.832, 0.341], [0.659, 0.168, 0.168], [0.609, 0.038, 0.609], [0.000, 0.000, 0.500], [0.000, 0.000, 0.000], [0.609, 0.609, 0.038], [0.397, 0.397, 0.397], [0.603, 0.603, 0.603]]}

---

Entry 18:
{"formula": "Ca2In2Pd5Au", "functional": "PBE", "state": "optimized geometry", "ef_mev_per_atom": -495, "volume_a3_per_cell": 399.0, "m_tot_mub_per_fu": 0.00, "total_energy_ev_per_atom": -4.367, "lattice": [[-1.545, -3.156, -1.621], [8.389, -1.236, -5.588], [4.040, -5.744, 7.335]], "species": ["Pd", "Pd", "Ca", "Pd", "Ca", "Ca", "Ca", "Au", "In", "Pd", "In", "Au", "In", "Pd", "Pd", "Pd", "Pd", "Pd", "Pd", "In"], "frac_coords": [[0.500, 0.063, 0.804], [0.500, 0.304, 0.563], [0.000, 0.173, 0.327], [0.500, 0.437, 0.304], [0.000, 0.827, 0.673], [0.000, 0.673, 0.173], [0.000, 0.327, 0.827], [0.000, 0.000, 0.000], [0.000, 0.627, 0.873], [0.500, 0.696, 0.437], [0.000, 0.127, 0.627], [0.000, 0.500, 0.500], [0.000, 0.873, 0.373], [0.500, 0.500, 0.000], [0.500, 0.196, 0.063], [0.500, 0.804, 0.937], [0.500, 0.563, 0.696], [0.500, 0.000, 0.500], [0.500, 0.937, 0.196], [0.000, 0.373, 0.127]]}

---

Entry 19:
{"formula": "Ca2InPdAu", "functional": "PBE", "state": "optimized geometry", "ef_mev_per_atom": -111, "volume_a3_per_cell": 157.1, "m_tot_mub_per_fu": 0.00, "total_energy_ev_per_atom": -3.154, "lattice": [[5.558, 0.000, 0.000], [0.000, 5.085, 0.000], [0.000, 0.000, 5.558]], "species": ["Pd", "Ca", "Ca", "Au", "In"], "frac_coords": [[0.500, 0.500, 0.500], [0.000, 0.000, 0.500], [0.500, 0.000, 0.000], [0.000, 0.000, 0.000], [0.000, 0.500, 0.000]]}

---

Entry 20:
{"formula": "Ca2InPd2Au5", "functional": "PBE", "state": "optimized geometry", "ef_mev_per_atom": -541, "volume_a3_per_cell": 409.2, "m_tot_mub_per_fu": 0.00, "total_energy_ev_per_atom": -3.892, "lattice": [[4.175, 0.000, 0.000], [0.000, 9.900, 0.000], [0.000, 0.000, 9.900]], "species": ["Au", "Pd", "Pd", "Ca", "Au", "Au", "Au", "Pd", "Pd", "Ca", "In", "Ca", "Au", "Au", "Au", "Ca", "Au", "Au", "In", "Au"], "frac_coords": [[0.500, 0.703, 0.439], [0.000, 0.873, 0.373], [0.000, 0.127, 0.627], [0.000, 0.671, 0.171], [0.500, 0.797, 0.939], [0.500, 0.939, 0.203], [0.500, 0.061, 0.797], [0.000, 0.627, 0.873], [0.000, 0.373, 0.127], [0.000, 0.829, 0.671], [0.000, 0.500, 0.500], [0.000, 0.329, 0.829], [0.500, 0.297, 0.561], [0.500, 0.203, 0.061], [0.500, 0.439, 0.297], [0.000, 0.171, 0.329], [0.500, 0.500, 0.000], [0.500, 0.561, 0.703], [0.000, 0.000, 0.000], [0.500, 0.000, 0.500]]}

---

Entry 21:
{"formula": "Ca2InPd5Au2", "functional": "PBE", "state": "optimized geometry", "ef_mev_per_atom": -573, "volume_a3_per_cell": 390.0, "m_tot_mub_per_fu": 0.00, "total_energy_ev_per_atom": -4.499, "lattice": [[-2.449, 0.169, -3.301], [-6.795, -5.077, 4.781], [-3.877, 8.299, 3.303]], "species": ["Pd", "Pd", "Ca", "In", "Pd", "In", "Pd", "Pd", "Pd", "Pd", "Ca", "Ca", "Pd", "Au", "Pd", "Pd", "Au", "Ca", "Au", "Au"], "frac_coords": [[0.500, 0.197, 0.064], [0.500, 0.564, 0.697], [0.000, 0.330, 0.830], [0.000, 0.500, 0.500], [0.500, 0.064, 0.803], [0.000, 0.000, 0.000], [0.500, 0.697, 0.436], [0.500, 0.000, 0.500], [0.500, 0.936, 0.197], [0.500, 0.436, 0.303], [0.000, 0.830, 0.670], [0.000, 0.670, 0.170], [0.500, 0.803, 0.936], [0.000, 0.372, 0.128], [0.500, 0.500, 0.000], [0.500, 0.303, 0.564], [0.000, 0.128, 0.628], [0.000, 0.170, 0.330], [0.000, 0.872, 0.372], [0.000, 0.628, 0.872]]}

---

Entry 22:
{"formula": "Ca2InPd3Au12", "functional": "PBE", "state": "optimized geometry", "ef_mev_per_atom": -241, "volume_a3_per_cell": 357.3, "m_tot_mub_per_fu": 0.00, "total_energy_ev_per_atom": -3.666, "lattice": [[6.938, -1.418, -1.006], [2.194, 6.733, -1.006], [2.194, 1.277, 6.687]], "species": ["Au", "Au", "Au", "Au", "Au", "Ca", "Pd", "Ca", "Au", "Au", "Au", "Au", "Au", "Au", "Au", "Pd", "Pd", "In"], "frac_coords": [[0.799, 0.294, 0.799], [0.874, 0.412, 0.412], [0.294, 0.799, 0.799], [0.799, 0.799, 0.294], [0.588, 0.588, 0.126], [0.271, 0.271, 0.271], [0.000, 0.000, 0.500], [0.729, 0.729, 0.729], [0.126, 0.588, 0.588], [0.412, 0.412, 0.874], [0.201, 0.706, 0.201], [0.201, 0.201, 0.706], [0.706, 0.201, 0.201], [0.412, 0.874, 0.412], [0.588, 0.126, 0.588], [0.000, 0.500, 0.000], [0.500, 0.000, 0.000], [0.000, 0.000, 0.000]]}